No. 1
Crystalline Ac3HoSn6 at its relaxed geometry, computed with PBE.

a = 8.7026 Å, b = 8.7026 Å, c = 8.7026 Å
α = 97.28°, β = 97.28°, γ = 97.28°
With the nearest neighbours (Å) after each atom.
Positions (direct):
Ac: 0.1816 0.7500 0.3184  8 Sn 3.44-3.65
Ac: 0.3184 0.1816 0.7500  8 Sn 3.44-3.65
Ac: 0.2500 0.6816 0.8184  8 Sn 3.44-3.65
Ac: 0.7500 0.3184 0.1816  8 Sn 3.44-3.65
Ac: 0.6816 0.8184 0.2500  8 Sn 3.44-3.65
Ac: 0.8184 0.2500 0.6816  8 Sn 3.44-3.65
Ho: 0.0000 0.0000 0.0000  6 Sn 3.15
Ho: 0.5000 0.5000 0.5000  6 Sn 3.15
Sn: 0.9118 0.6356 0.9862  2 Sn 2.90-2.99, 1 Ho 3.15
Sn: 0.0138 0.0882 0.3644  2 Sn 2.90-2.99, 1 Ho 3.15
Sn: 0.1356 0.4118 0.4863  2 Sn 2.90-2.99, 1 Ho 3.15
Sn: 0.3644 0.0138 0.0882  2 Sn 2.90-2.99, 1 Ho 3.15
Sn: 0.4118 0.4863 0.1356  2 Sn 2.90-2.99, 1 Ho 3.15
Sn: 0.5137 0.8644 0.5882  2 Sn 2.90-2.99, 1 Ho 3.15
Sn: 0.4863 0.1356 0.4118  2 Sn 2.90-2.99, 1 Ho 3.15
Sn: 0.5882 0.5137 0.8644  2 Sn 2.90-2.99, 1 Ho 3.15
Sn: 0.6356 0.9862 0.9118  2 Sn 2.90-2.99, 1 Ho 3.15
Sn: 0.8644 0.5882 0.5137  2 Sn 2.90-2.99, 1 Ho 3.15
Sn: 0.9862 0.9118 0.6356  2 Sn 2.90-2.99, 1 Ho 3.15
Sn: 0.0882 0.3644 0.0138  2 Sn 2.90-2.99, 1 Ho 3.15

## Properties
- Size of the total moment: 0.000 μB per cell
- Energy: -4.710 eV per atom


No. 2
Crystalline RbFeH2 at its relaxed geometry, computed with PBE.

a = 4.5514 Å, b = 4.5514 Å, c = 4.5514 Å
α = 60.00°, β = 60.00°, γ = 60.00°
With the nearest neighbours (Å) after each atom.
Positions (direct):
H: 0.2500 0.2500 0.2500  4 Rb 2.79, 4 Fe 2.79
H: 0.7500 0.7500 0.7500  4 Rb 2.79, 4 Fe 2.79
Fe: 0.0000 0.0000 0.0000  8 H 2.79
Rb: 0.5000 0.5000 0.5000  8 H 2.79

## Properties
- Size of the total moment: 3.903 μB per cell
- Relative energy among the computed polymorphs: 0.9139 eV/atom
- Energy: -2.876 eV per atom